No. 1
MnSO2F (PBE+U, relaxed); magnetic moment = 5.32 μB per formula unit; uncorrected energy = -0.1894 Ha/atom; calculated density = 3.492 g cm⁻³
1.0
3.6001 0.0000 0.0000
0.0000 3.6001 0.0000
0.0000 0.0000 5.0638
Mn S O F
1 1 2 1
Cartesian
0.0000 0.0000 0.0000
1.8000 1.8000 2.5319
0.0000 1.8000 2.5319
1.8000 0.0000 2.5319
1.8000 1.8000 0.0000

---

No. 2
GaCo2GeO6 (PBE+U, relaxed); magnetic moment = 5.00 μB per formula unit; uncorrected energy = -0.2245 Ha/atom; calculated density = 5.932 g cm⁻³
1.0
4.9999 0.0000 0.0000
2.4395 4.4024 0.0000
0.0263 2.7884 4.5301
Ga Co Ge O
1 2 1 6
Cartesian
0.0000 0.0000 0.0000
2.4940 4.3091 3.7923
4.9588 2.9247 1.7102
2.4889 1.4094 2.1048
1.7090 2.8037 0.8284
3.3340 5.9845 3.0597
4.1706 4.5720 0.8228
3.5075 2.7259 2.9991
4.0125 1.4789 0.8022
5.6419 4.2518 2.9394